Material: CaSnMoO6
Method: DFT, GGA+U
State: optimized geometry

Output
D(E_F) = 0.00 states/eV per atom
E = -6.70 eV/atom

Unit cell a=5.3639 b=5.3639 c=10.0323 alpha=90.00 beta=90.00 gamma=120.00
Atoms (fractional coordinates):
O 0.3792 0.3607 0.3594
Sn 0.3333 0.6667 0.2500
Mo 0.3333 0.6667 0.7500
Sn 0.6667 0.3333 0.7500
O 0.3607 0.3792 0.8594
Ca 0.0000 0.0000 0.0000
Mo 0.6667 0.3333 0.2500
O 0.9815 0.6208 0.3594
O 0.6393 0.0185 0.3594
O 0.3792 0.0185 0.1406
O 0.6208 0.9815 0.8594
O 0.0185 0.3792 0.6406
O 0.3607 0.9815 0.6406
O 0.6393 0.6208 0.1406
Ca 0.0000 0.0000 0.5000
O 0.9815 0.3607 0.1406
O 0.0185 0.6393 0.8594
O 0.6208 0.6393 0.6406